[1]
BaSnIN2: optimized geometry, GGA-PBE.

Lattice parameters (Å, degrees): 4.8324 4.8324 6.7214 90.00 90.00 90.00
Last column: nearest neighbours and their distance in Å.
Space group P4/mmm (No. 123)
Symmetry-distinct sites (fractional):
Ba 0.0000 0.0000 0.0000 (multiplicity 1)  4 N 2.42
Sn 0.5000 0.5000 0.5000 (multiplicity 1)  4 I 3.42
I 0.0000 0.0000 0.5000 (multiplicity 1)  2 Ba 3.36, 4 Sn 3.42
N 0.0000 0.5000 0.0000 (multiplicity 2)  2 Ba 2.42

Summary:
Magnetic moment   0.259 μB per atom
Uncorrected energy   -0.13121 hartree per atom
Offset from the most stable computed form   757 meV/atom
Mass density   4.35 g/cm³
Energy relative to the elements, uncorrected   1255 meV/atom



[2]
ZnRu2W2: optimized geometry, GGA-PBE.

Lattice parameters (Å, degrees): 7.5099 7.5099 2.8401 90.00 90.00 90.00
Last column: nearest neighbours and their distance in Å.
Space group P4/mbm (No. 127)
Symmetry-distinct sites (fractional):
Zn 0.0000 0.0000 0.0000 (multiplicity 2)  2 Zn 2.84, 4 Ru 2.94, 8 W 3.15
Ru 0.1321 0.3679 0.0000 (multiplicity 4)  6 W 2.61-2.63, 3 Ru 2.81-2.84
W 0.1615 0.6615 0.5000 (multiplicity 4)  6 Ru 2.61-2.63, 2 W 2.84

Summary:
Magnetic moment   0.000 μB per atom
Uncorrected energy   -0.32824 hartree per atom
E_form   214 meV/atom
Mass density   13.17 g/cm³



[3]
LaZr2Sc: optimized geometry, GGA-PBE.

Lattice parameters (Å, degrees): 3.3071 3.3071 32.8490 90.00 90.00 120.00
Last column: nearest neighbours and their distance in Å.
Space group R3m (No. 160, hexagonal axes)
Symmetry-distinct sites (fractional):
La 0.0000 0.0000 0.0000 (multiplicity 3)  6 La 3.31, 6 Zr 3.45-3.49
Zr 0.0000 0.0000 0.5776 (multiplicity 3)  3 Sc 3.20, 6 Zr 3.31, 3 La 3.49
Zr 0.0000 0.0000 0.7541 (multiplicity 3)  3 Sc 3.21, 6 Zr 3.31, 3 La 3.45
Sc 0.0000 0.0000 0.1660 (multiplicity 3)  6 Zr 3.20-3.21, 6 Sc 3.31

Summary:
Magnetic moment   0.000 μB per atom
Uncorrected energy   -0.25538 hartree per atom
E_form   140 meV/atom
Offset from the most stable computed form   42 meV/atom
Mass density   5.86 g/cm³



[4]
SbWSe2S: optimized geometry, GGA-PBE.

Lattice parameters (Å, degrees): 5.0195 5.0195 4.4628 90.00 90.00 90.00
Last column: nearest neighbours and their distance in Å.
Space group P4/mmm (No. 123)
Symmetry-distinct sites (fractional):
Sb 0.0000 0.0000 0.0000 (multiplicity 1)  8 Se 3.36, 4 W 3.55
W 0.5000 0.5000 0.0000 (multiplicity 1)  2 S 2.23
Se 0.0000 0.5000 0.5000 (multiplicity 2)  2 S 2.51
S 0.5000 0.5000 0.5000 (multiplicity 1)  2 W 2.23

Summary:
Magnetic moment   0.000 μB per atom
Uncorrected energy   -0.17068 hartree per atom
Mass density   7.32 g/cm³
Energy relative to the elements, uncorrected   990 meV/atom